Record 1
Below is an optimized crystal structure of TbSb2Rh4, with properties calculated at the PBE level.

Cell: 4.1117 7.9666 7.9666 Å, 90.00 90.00 90.00°
Sites, in units of the cell vectors:
1 Rh 0.0000 0.0814 0.3437
2 Rh 0.0000 0.9186 0.6563
3 Rh 0.5000 0.1563 0.5814
4 Rh 0.0000 0.6563 0.9186
5 Rh 0.5000 0.8437 0.4186
6 Rh 0.5000 0.4186 0.8437
7 Rh 0.5000 0.5814 0.1563
8 Rh 0.0000 0.3437 0.0814
9 Sb 0.5000 0.2757 0.2757
10 Sb 0.0000 0.2243 0.7757
11 Sb 0.5000 0.7243 0.7243
12 Sb 0.0000 0.7757 0.2243
13 Tb 0.0000 0.5000 0.5000
14 Tb 0.5000 0.0000 0.0000

Values from the calculation:
Total moment (μB/f.u.): 0.00
DOS at the Fermi energy (states/eV/f.u.): 5.946
Symmetry: No. 136
Energy above the most stable polymorph in this dataset (eV per atom): 0.000



Record 2
Below is an optimized crystal structure of Tb5Sb2Rh, with properties calculated at the PBE level.

Cell: 5.8270 5.5466 16.0160 Å, 90.00 90.00 121.69°
Sites, in units of the cell vectors:
1 Tb 0.0932 0.1864 0.3700
2 Tb 0.7476 0.4953 0.2500
3 Tb 0.2524 0.5047 0.7500
4 Tb 0.9068 0.8136 0.6300
5 Tb 0.9068 0.8136 0.8700
6 Tb 0.5697 0.1395 0.9027
7 Tb 0.5697 0.1395 0.5973
8 Tb 0.4303 0.8605 0.4027
9 Tb 0.4303 0.8605 0.0973
10 Tb 0.0932 0.1864 0.1300
11 Sb 0.7739 0.5479 0.0593
12 Sb 0.2261 0.4521 0.5593
13 Sb 0.2261 0.4521 0.9407
14 Sb 0.7739 0.5479 0.4407
15 Rh 0.6747 0.3495 0.7500
16 Rh 0.3253 0.6505 0.2500

Values from the calculation:
Total moment (μB/f.u.): 0.00
DFT total energy (eV per atom): -5.389
DOS at the Fermi energy (states/eV/f.u.): 4.668
Symmetry: No. 63



Record 3
Below is an optimized crystal structure of TbSbRh2, with properties calculated at the PBE level.

Cell: 5.2224 4.6458 7.6684 Å, 90.00 124.36 90.00°
Sites, in units of the cell vectors:
1 Rh 0.3849 0.7500 0.0491
2 Rh 0.1875 0.2500 0.4932
3 Rh 0.8125 0.7500 0.5068
4 Rh 0.6151 0.2500 0.9509
5 Tb 0.0312 0.7500 0.2171
6 Tb 0.9688 0.2500 0.7829
7 Sb 0.4489 0.7500 0.7185
8 Sb 0.5511 0.2500 0.2815

Values from the calculation:
Total moment (μB/f.u.): 0.00
DFT total energy (eV per atom): -6.619
DOS at the Fermi energy (states/eV/f.u.): 2.300
Symmetry: No. 11



Record 4
Below is an optimized crystal structure of TbSbRh, with properties calculated at the PBE level.

Cell: 4.3428 4.3428 7.0684 Å, 90.00 90.03 90.00°
Sites, in units of the cell vectors:
1 Sb 0.2503 0.7500 0.7412
2 Sb 0.7497 0.2500 0.2588
3 Tb 0.7503 0.2500 0.8052
4 Tb 0.2497 0.7500 0.1948
5 Rh 0.2500 0.2500 0.5000
6 Rh 0.7500 0.7500 0.5000

Values from the calculation:
Total moment (μB/f.u.): 0.00
DFT total energy (eV per atom): -6.288
DOS at the Fermi energy (states/eV/f.u.): 3.403
Symmetry: No. 129



Record 5
Below is an optimized crystal structure of Tb8Sb2Rh, with properties calculated at the PBE level.

Cell: 4.6732 7.2563 9.6839 Å, 97.90 103.96 90.00°
Sites, in units of the cell vectors:
1 Tb 0.7844 0.6535 0.5688
2 Tb 0.5956 0.5123 0.1911
3 Tb 0.4044 0.4877 0.8089
4 Tb 0.6444 0.0316 0.2889
5 Tb 0.0043 0.7744 0.0086
6 Tb 0.3556 0.9684 0.7111
7 Tb 0.9957 0.2256 0.9914
8 Tb 0.2156 0.3465 0.4312
9 Sb 0.8176 0.2284 0.6352
10 Sb 0.1824 0.7716 0.3648
11 Rh 0.5000 0.0000 0.0000

Values from the calculation:
Total moment (μB/f.u.): 0.00
DFT total energy (eV per atom): -5.322
DOS at the Fermi energy (states/eV/f.u.): 10.693
Symmetry: No. 12



Record 6
Below is an optimized crystal structure of Tb3Sb5Rh6, with properties calculated at the PBE level.

Cell: 4.2911 9.9431 13.3573 Å, 90.00 90.00 90.00°
Sites, in units of the cell vectors:
1 Rh 0.0000 0.5934 0.3053
2 Rh 0.0000 0.0006 0.1663
3 Rh 0.5000 0.9994 0.3337
4 Rh 0.5000 0.9994 0.6663
5 Rh 0.0000 0.4882 0.5000
6 Rh 0.5000 0.4066 0.8053
7 Rh 0.0000 0.9973 0.5000
8 Rh 0.5000 0.0027 0.0000
9 Rh 0.0000 0.5934 0.6947
10 Rh 0.5000 0.5118 0.0000
11 Rh 0.0000 0.0006 0.8337
12 Rh 0.5000 0.4066 0.1947
13 Tb 0.0000 0.2453 0.3291
14 Tb 0.0000 0.2476 0.0000
15 Tb 0.5000 0.7524 0.5000
16 Tb 0.5000 0.7547 0.8291
17 Tb 0.0000 0.2453 0.6709
18 Tb 0.5000 0.7547 0.1709
19 Sb 0.0000 0.5263 0.8811
20 Sb 0.5000 0.1506 0.1668
21 Sb 0.0000 0.5263 0.1189
22 Sb 0.5000 0.1609 0.5000
23 Sb 0.5000 0.4737 0.6189
24 Sb 0.0000 0.8494 0.3332
25 Sb 0.5000 0.4737 0.3811
26 Sb 0.0000 0.8494 0.6668
27 Sb 0.5000 0.1506 0.8332
28 Sb 0.0000 0.8391 0.0000

Values from the calculation:
Total moment (μB/f.u.): 0.00
DFT total energy (eV per atom): -6.424
DOS at the Fermi energy (states/eV/f.u.): 8.099
Symmetry: No. 59



Record 7
Below is an optimized crystal structure of Tb3SbRh8, with properties calculated at the PBE level.

Cell: 5.3449 5.3449 9.2094 Å, 73.13 73.13 60.00°
Sites, in units of the cell vectors:
1 Rh 0.5619 0.0604 0.8158
2 Rh 0.0613 0.0613 0.3154
3 Rh 0.5619 0.0613 0.3154
4 Rh 0.5619 0.5619 0.8158
5 Rh 0.8106 0.8106 0.5682
6 Rh 0.0613 0.5619 0.3154
7 Rh 0.3113 0.3113 0.0660
8 Rh 0.0604 0.5619 0.8158
9 Sb 0.1331 0.1331 0.6008
10 Tb 0.6238 0.6238 0.1286
11 Tb 0.0068 0.0068 0.9797
12 Tb 0.4957 0.4957 0.5130

Values from the calculation:
Total moment (μB/f.u.): 0.00
DFT total energy (eV per atom): -6.994
DOS at the Fermi energy (states/eV/f.u.): 6.689
Symmetry: No. 160



Record 8
Below is an optimized crystal structure of TbSbRh, with properties calculated at the PBE level.

Cell: 4.5818 7.2018 7.8418 Å, 90.00 90.00 90.00°
Sites, in units of the cell vectors:
1 Tb 0.2500 0.5101 0.2007
2 Tb 0.2500 0.0101 0.2993
3 Tb 0.7500 0.9899 0.7007
4 Tb 0.7500 0.4899 0.7993
5 Sb 0.7500 0.8078 0.0909
6 Sb 0.2500 0.1922 0.9091
7 Sb 0.2500 0.6922 0.5909
8 Sb 0.7500 0.3078 0.4091
9 Rh 0.7500 0.6972 0.4180
10 Rh 0.2500 0.3028 0.5820
11 Rh 0.7500 0.1972 0.0820
12 Rh 0.2500 0.8028 0.9180

Values from the calculation:
Total moment (μB/f.u.): 0.00
DFT total energy (eV per atom): -6.381
DOS at the Fermi energy (states/eV/f.u.): 2.005
Symmetry: No. 62



Record 9
Below is an optimized crystal structure of Tb2Sb3Rh5, with properties calculated at the PBE level.

Cell: 4.3698 6.9986 12.9155 Å, 90.00 99.74 90.00°
Sites, in units of the cell vectors:
1 Tb 0.5126 0.2813 0.0252
2 Tb 0.4874 0.7813 0.9748
3 Tb 0.1799 0.7201 0.3597
4 Tb 0.8201 0.2201 0.6403
5 Rh 0.0530 0.6247 0.1061
6 Rh 0.6036 0.9100 0.2071
7 Rh 0.8788 0.7851 0.7577
8 Rh 0.2791 0.4648 0.5583
9 Rh 0.2948 0.8861 0.5895
10 Rh 0.7052 0.3861 0.4105
11 Rh 0.7209 0.9648 0.4417
12 Rh 0.3964 0.4100 0.7929
13 Rh 0.1212 0.2851 0.2423
14 Rh 0.9470 0.1247 0.8939
15 Sb 0.6098 0.5232 0.2197
16 Sb 0.0518 0.0036 0.1036
17 Sb 0.3902 0.0232 0.7803
18 Sb 0.9482 0.5036 0.8964
19 Sb 0.7815 0.6659 0.5631
20 Sb 0.2185 0.1659 0.4369

Values from the calculation:
Total moment (μB/f.u.): 0.00
DFT total energy (eV per atom): -6.528
DOS at the Fermi energy (states/eV/f.u.): 7.046
Symmetry: No. 36



Record 10
Below is an optimized crystal structure of Tb2SbRh3, with properties calculated at the PBE level.

Cell: 5.2829 5.2829 5.2829 Å, 65.23 65.23 65.23°
Sites, in units of the cell vectors:
1 Tb 0.6275 0.6275 0.6275
2 Tb 0.3725 0.3725 0.3725
3 Rh 0.5000 0.0000 0.0000
4 Rh 0.0000 0.0000 0.5000
5 Rh 0.0000 0.5000 0.0000
6 Sb 0.0000 0.0000 0.0000

Values from the calculation:
Total moment (μB/f.u.): 0.00
DFT total energy (eV per atom): -6.754
DOS at the Fermi energy (states/eV/f.u.): 3.522
Symmetry: No. 166



Which of these has the highest DOS at the Fermi energy? Tb8Sb2Rh



Which value of DOS at the Fermi energy does entry 8 give? 2.005 states/eV/f.u.



Among the records above, which one has the lowest DOS at the Fermi energy? number 8